Below is a relaxed Nd2SmBr crystal, with properties calculated at the GGA-PBE level.

Summary:
* ΔE to the lowest computed polymorph: 15 meV per atom
* symmetry: R3m, No. 160
* energy: -18.11 eV per cell
* total magnetic moment: 0.241 μB per atom
* formation energy (no corrections): -0.545 eV per atom

Unit cell a=3.7543 b=3.7543 c=10.8262 alpha=80.02 beta=80.02 gamma=60.00
With the nearest neighbours (Å) after each atom.
Sites, in units of the cell vectors:
Nd (0.0751, 0.0751, 0.7748)  3 Br 3.23
Nd (0.2585, 0.2585, 0.2246)  3 Br 3.22
Br (0.6665, 0.6665, 0.0004)  6 Nd 3.22-3.23
Sm (0.4999, 0.4999, 0.5002)  6 Nd 3.63-3.64, 6 Sm 3.75

=====

Below is a relaxed MgAlRe2 crystal, with properties calculated at the GGA-PBE level.

Summary:
* ΔE to the lowest computed polymorph: 517 meV per atom
* symmetry: Fm-3m, No. 225
* energy: -28.47 eV per cell
* total magnetic moment: 0.000 μB per atom
* energy of formation from the pure elements: 0.44 eV/atom

Unit cell a=4.3944 b=4.3944 c=4.3944 alpha=60.00 beta=60.00 gamma=60.00
With the nearest neighbours (Å) after each atom.
Sites, in units of the cell vectors:
Al (0.5000, 0.5000, 0.5000)  8 Re 2.69
Re (0.7500, 0.7500, 0.7500)  4 Mg 2.69, 4 Al 2.69
Re (0.2500, 0.2500, 0.2500)  4 Mg 2.69, 4 Al 2.69
Mg (0.0000, 0.0000, 0.0000)  8 Re 2.69

=====

Below is a relaxed Ti5VFe6 crystal, with properties calculated at the GGA-PBE level.

Summary:
* symmetry: Immm, No. 71
* energy: -103.70 eV per cell
* total magnetic moment: 0.030 μB per atom
* energy of formation from the pure elements: -0.36 eV/atom

Unit cell a=4.1560 b=7.1927 c=7.1927 alpha=119.98 beta=106.80 gamma=106.80
With the nearest neighbours (Å) after each atom.
Sites, in units of the cell vectors:
Ti (0.0000, 0.3329, 0.6671)  8 Fe 2.55-2.56
Ti (0.0000, 0.6671, 0.3329)  8 Fe 2.55-2.56
Ti (0.5000, 0.1654, 0.8346)  8 Fe 2.51-2.59
Ti (0.5000, 0.5000, 0.5000)  8 Fe 2.53-2.56
Ti (0.5000, 0.8346, 0.1654)  8 Fe 2.51-2.59
Fe (0.2548, 0.7548, 0.7548)  6 Ti 2.51-2.56, 2 V 2.53
Fe (0.2475, 0.0830, 0.4120)  1 V 2.51, 7 Ti 2.53-2.59
Fe (0.7452, 0.2452, 0.2452)  6 Ti 2.51-2.56, 2 V 2.53
Fe (0.7525, 0.5880, 0.9170)  1 V 2.51, 7 Ti 2.53-2.59
Fe (0.7525, 0.9170, 0.5880)  1 V 2.51, 7 Ti 2.53-2.59
Fe (0.2475, 0.4120, 0.0830)  1 V 2.51, 7 Ti 2.53-2.59
V (0.0000, 0.0000, 0.0000)  8 Fe 2.51-2.53

=====

Below is a relaxed HoErFe4 crystal, with properties calculated at the GGA-PBE level.

Summary:
* symmetry: F-43m, No. 216
* energy: -43.66 eV per cell
* total magnetic moment: 1.116 μB per atom
* energy of formation from the pure elements: -0.11 eV/atom

Unit cell a=5.1069 b=5.1069 c=5.1069 alpha=60.00 beta=60.00 gamma=60.00
With the nearest neighbours (Å) after each atom.
Sites, in units of the cell vectors:
Er (0.0000, 0.0000, 0.0000)  12 Fe 2.99, 4 Ho 3.13
Fe (0.6250, 0.6250, 0.6250)  6 Fe 2.55
Fe (0.1249, 0.6250, 0.6250)  6 Fe 2.55
Fe (0.6250, 0.6250, 0.1249)  6 Fe 2.55
Fe (0.6250, 0.1249, 0.6250)  6 Fe 2.55
Ho (0.2500, 0.2500, 0.2500)  12 Fe 2.99, 4 Er 3.13

=====

Below is a relaxed Sm2AgPt crystal, with properties calculated at the GGA-PBE level.

Summary:
* symmetry: P4/mmm, No. 123
* energy: -21.15 eV per cell
* total magnetic moment: 0.000 μB per atom
* energy of formation from the pure elements: -0.70 eV/atom

Unit cell a=3.6329 b=3.6329 c=7.3029 alpha=90.00 beta=90.00 gamma=90.00
With the nearest neighbours (Å) after each atom.
Sites, in units of the cell vectors:
Sm (0.0000, 0.0000, 0.2341)  4 Pt 3.09, 4 Ag 3.22, 1 Sm 3.42
Sm (0.0000, 0.0000, 0.7659)  4 Pt 3.09, 4 Ag 3.22, 1 Sm 3.42
Pt (0.5000, 0.5000, 0.0000)  8 Sm 3.09
Ag (0.5000, 0.5000, 0.5000)  8 Sm 3.22

=====

Below is a relaxed ThZnInPd3 crystal, with properties calculated at the GGA-PBE level.

Summary:
* symmetry: Cmcm, No. 63
* energy: -59.08 eV per cell
* total magnetic moment: 0.000 μB per atom
* energy of formation from the pure elements: -0.42 eV/atom

Unit cell a=5.8311 b=6.7134 c=7.1835 alpha=117.86 beta=90.00 gamma=90.00
With the nearest neighbours (Å) after each atom.
Sites, in units of the cell vectors:
Pd (0.2500, 0.1621, 0.3243)  1 Zn 2.55
Pd (0.7500, 0.8379, 0.6757)  1 Zn 2.55
Pd (0.5000, 0.7007, 0.0000)  2 Zn 2.64, 2 In 2.65, 3 Pd 2.69-2.92
Pd (0.0000, 0.2993, 0.0000)  2 Zn 2.64, 2 In 2.65, 3 Pd 2.69-2.92
Pd (0.5000, 0.2993, 0.0000)  2 Zn 2.64, 2 In 2.65, 3 Pd 2.69-2.92
Pd (0.0000, 0.7007, 0.0000)  2 Zn 2.64, 2 In 2.65, 3 Pd 2.69-2.92
In (0.2500, 0.9269, 0.8537)  4 Pd 2.65
In (0.7500, 0.0731, 0.1463)  4 Pd 2.65
Zn (0.2500, 0.3629, 0.7259)  5 Pd 2.55-2.64
Zn (0.7500, 0.6371, 0.2741)  5 Pd 2.55-2.64
Th (0.7500, 0.3202, 0.6404)  2 Zn 2.97, 4 Pd 3.03, 1 In 3.14
Th (0.2500, 0.6798, 0.3596)  2 Zn 2.97, 4 Pd 3.03, 1 In 3.14

=====

Below is a relaxed Rb2P2Pb crystal, with properties calculated at the GGA-PBE level.

Summary:
* ΔE to the lowest computed polymorph: 323 meV per atom
* symmetry: I4/mmm, No. 139
* energy: -15.83 eV per cell
* total magnetic moment: 0.000 μB per atom
* energy of formation from the pure elements: 0.13 eV/atom

Unit cell a=4.7976 b=4.7976 c=7.5776 alpha=71.54 beta=71.54 gamma=90.00
With the nearest neighbours (Å) after each atom.
Sites, in units of the cell vectors:
Pb (0.0000, 0.0000, 0.0000)  8 P 3.56
P (0.5790, 0.5790, 0.8420)  1 P 2.14
P (0.4210, 0.4210, 0.1580)  1 P 2.14
Rb (0.2500, 0.7500, 0.5000)  4 P 3.34, 4 Rb 3.39
Rb (0.7500, 0.2500, 0.5000)  4 P 3.34, 4 Rb 3.39

=====

Below is a relaxed SrCa2Ac2 crystal, with properties calculated at the GGA-PBE level.

Summary:
* symmetry: P4/mbm, No. 127
* energy: -26.24 eV per cell
* total magnetic moment: 0.001 μB per atom
* energy of formation from the pure elements: 0.16 eV/atom

Unit cell a=10.7402 b=10.7402 c=4.0547 alpha=90.00 beta=90.00 gamma=90.00
With the nearest neighbours (Å) after each atom.
Sites, in units of the cell vectors:
Sr (0.5000, 0.5000, 0.0000)  2 Sr 4.05, 4 Ca 4.13
Sr (0.0000, 0.0000, 0.0000)  2 Sr 4.05, 4 Ca 4.13
Ca (0.3564, 0.1436, 0.0000)  6 Ac 3.73-3.75, 2 Ca 4.05, 2 Sr 4.13
Ca (0.1436, 0.6436, 0.0000)  6 Ac 3.73-3.75, 2 Ca 4.05, 2 Sr 4.13
Ca (0.6436, 0.8564, 0.0000)  6 Ac 3.73-3.75, 2 Ca 4.05, 2 Sr 4.13
Ca (0.8564, 0.3564, 0.0000)  6 Ac 3.73-3.75, 2 Ca 4.05, 2 Sr 4.13
Ac (0.3498, 0.8498, 0.5000)  6 Ca 3.73-3.75, 2 Ac 4.05
Ac (0.6502, 0.1502, 0.5000)  6 Ca 3.73-3.75, 2 Ac 4.05
Ac (0.8498, 0.6502, 0.5000)  6 Ca 3.73-3.75, 2 Ac 4.05
Ac (0.1502, 0.3498, 0.5000)  6 Ca 3.73-3.75, 2 Ac 4.05

=====

Below is a relaxed Ag4SbAu5 crystal, with properties calculated at the GGA-PBE level.

Summary:
* symmetry: I4, No. 79
* energy: -30.58 eV per cell
* total magnetic moment: 0.000 μB per atom
* formation energy (no corrections): 0.133 eV per atom

Unit cell a=5.3430 b=6.7312 c=6.7312 alpha=80.94 beta=66.62 gamma=66.62
With the nearest neighbours (Å) after each atom.
Sites, in units of the cell vectors:
Sb (0.1897, 0.0000, 0.0000)  6 Au 2.57-2.79
Ag (0.1076, 0.2811, 0.4181)  5 Au 2.76-2.92, 1 Ag 2.89
Ag (0.5257, 0.5819, 0.2811)  5 Au 2.76-2.92, 1 Ag 2.89
Ag (0.3887, 0.4181, 0.7189)  5 Au 2.76-2.92, 1 Ag 2.89
Ag (0.8068, 0.7189, 0.5819)  5 Au 2.76-2.92, 1 Ag 2.89
Au (0.0879, 0.6142, 0.1204)  5 Ag 2.76-2.92, 1 Sb 2.79, 1 Au 2.92
Au (0.6711, 0.0000, 0.0000)  2 Sb 2.57-2.77
Au (0.2083, 0.8796, 0.6142)  5 Ag 2.76-2.92, 1 Sb 2.79, 1 Au 2.92
Au (0.7021, 0.1204, 0.3858)  5 Ag 2.76-2.92, 1 Sb 2.79, 1 Au 2.92
Au (0.8225, 0.3858, 0.8796)  5 Ag 2.76-2.92, 1 Sb 2.79, 1 Au 2.92

=====

Below is a relaxed DyZnSn crystal, with properties calculated at the GGA-PBE level.

Summary:
* symmetry: P3m1, No. 156
* energy: -11.39 eV per cell
* total magnetic moment: 0.000 μB per atom
* energy of formation from the pure elements: -0.50 eV/atom

Unit cell a=4.1312 b=4.4434 c=4.4434 alpha=120.00 beta=90.00 gamma=90.00
With the nearest neighbours (Å) after each atom.
Sites, in units of the cell vectors:
Zn (0.0904, 0.0000, 0.0000)  3 Sn 2.62
Dy (0.6903, 0.6667, 0.3333)  3 Zn 3.05, 6 Sn 3.22-3.37
Sn (0.2194, 0.3333, 0.6667)  3 Zn 2.62

=====

Below is a relaxed Sr4PSeBr2 crystal, with properties calculated at the GGA-PBE level.

Summary:
* symmetry: P2/m, No. 10
* energy: -32.28 eV per cell
* total magnetic moment: 0.000 μB per atom
* formation energy (no corrections): -1.665 eV per atom

Unit cell a=4.4724 b=7.7930 c=7.7603 alpha=70.69 beta=90.00 gamma=90.00
With the nearest neighbours (Å) after each atom.
Sites, in units of the cell vectors:
Br (0.5000, 0.0000, 0.5000)  6 Sr 3.26-3.27
Br (0.0000, 0.0000, 0.0000)  6 Sr 3.35-3.37
Sr (0.0000, 0.7201, 0.7489)  1 P 2.98, 2 Se 3.09, 2 Br 3.27
Sr (0.0000, 0.2799, 0.2511)  1 P 2.98, 2 Se 3.09, 2 Br 3.27
Sr (0.5000, 0.7160, 0.2713)  2 P 3.00, 1 Se 3.10, 3 Br 3.26-3.35
Sr (0.5000, 0.2841, 0.7287)  2 P 3.00, 1 Se 3.10, 3 Br 3.26-3.35
P (0.0000, 0.5000, 0.5000)  6 Sr 2.98-3.00
Se (0.5000, 0.5000, 0.0000)  6 Sr 3.09-3.10

=====

Below is a relaxed Cr2BRuPt crystal, with properties calculated at the GGA-PBE level.

Summary:
* symmetry: P4/mmm, No. 123
* energy: -40.23 eV per cell
* total magnetic moment: 0.232 μB per atom
* energy of formation from the pure elements: 0.20 eV/atom

Unit cell a=3.9488 b=4.0042 c=3.9488 alpha=90.00 beta=90.00 gamma=90.00
With the nearest neighbours (Å) after each atom.
Sites, in units of the cell vectors:
Ru (0.5000, 0.5000, 0.5000)  4 Pt 2.79, 8 Cr 2.81
Pt (0.0000, 0.5000, 0.0000)  2 B 2.00
Cr (0.0000, 0.0000, 0.5000)  2 B 1.97
Cr (0.5000, 0.0000, 0.0000)  2 B 1.97
B (0.0000, 0.0000, 0.0000)  4 Cr 1.97, 2 Pt 2.00